Entry from Alexandria: crystalline Er3Cu at its relaxed geometry (PBE).

Output
Spin magnetization ... 0.0 μB per cell
D(E_F) ... 4.5 states/eV per cell
Energy relative to the elements ... 0.095 eV/atom

abc: 3.454 3.567 9.004
angles: 90.00 90.00 90.00
Fractional positions:
Er  0.000  0.000  0.000
Er  0.000  0.500  0.333
Er  0.500  0.500  0.724
Cu  0.500  0.000  0.476

Entry from Alexandria: crystalline Er5Cu2 at its relaxed geometry (PBE).

Output
Spin magnetization ... 0.0 μB per cell
D(E_F) ... 15.3 states/eV per cell
Energy relative to the elements ... -0.134 eV/atom

abc: 8.736 8.736 6.779
angles: 95.41 95.41 43.84
Fractional positions:
Er  0.056  0.944  0.750
Er  0.159  0.282  0.299
Er  0.282  0.159  0.799
Er  0.291  0.520  0.059
Er  0.480  0.709  0.441
Er  0.520  0.291  0.559
Er  0.709  0.480  0.941
Er  0.718  0.841  0.201
Er  0.841  0.718  0.701
Er  0.944  0.056  0.250
Cu  0.099  0.681  0.441
Cu  0.319  0.901  0.059
Cu  0.681  0.099  0.941
Cu  0.901  0.319  0.559

Entry from Alexandria: crystalline ErCu2 at its relaxed geometry (PBE).

Output
Spin magnetization ... 0.0 μB per cell
D(E_F) ... 3.3 states/eV per cell
Energy relative to the elements ... -0.289 eV/atom

abc: 5.413 5.413 5.413
angles: 133.55 102.47 95.45
Fractional positions:
Er  0.293  0.043  0.250
Er  0.707  0.957  0.750
Cu  0.115  0.665  0.450
Cu  0.285  0.335  0.950
Cu  0.715  0.665  0.050
Cu  0.885  0.335  0.550

Electronic total energy values, unit eV per cell, following the record order: -17.4, -63.9, -27.2.